No. 1
VASP calculation (PBE) on a geometry-optimized CeHoZn structure.

Cell: 6.692 6.692 6.692 Å, 149.36 149.36 43.88°
Fractional positions:
Ce  0.000  0.000  0.000
Ho  0.706  0.706  0.000
Zn  0.345  0.345  0.000

Energy relative to the lowest polymorph listed for this composition, eV/f.u.: 0.09
Space group: I4mm (107)
Crystal system: tetragonal
Volume, Å³ per atom: 25.872
Formation energy, eV per atom: -0.129
N(E_F), states/eV/f.u.: 5.8

No. 2
VASP calculation (PBE) on a geometry-optimized Li2B3C3 structure.

Cell: 2.734 2.734 19.528 Å, 90.00 90.00 120.00°
Fractional positions:
Li  0.000  0.000  0.090
Li  0.000  0.000  0.273
Li  0.000  0.000  0.727
Li  0.000  0.000  0.910
B  0.333  0.667  0.000
B  0.333  0.667  0.365
B  0.333  0.667  0.635
B  0.667  0.333  0.181
B  0.667  0.333  0.500
B  0.667  0.333  0.819
C  0.333  0.667  0.180
C  0.333  0.667  0.500
C  0.333  0.667  0.820
C  0.667  0.333  0.000
C  0.667  0.333  0.361
C  0.667  0.333  0.639

Energy relative to the lowest polymorph listed for this composition, eV/f.u.: 0.32
Space group: P-6m2 (187)
Crystal system: hexagonal
Volume, Å³ per atom: 7.900
Formation energy, eV per atom: -0.137
N(E_F), states/eV/f.u.: 0.8

No. 3
VASP calculation (PBE) on a geometry-optimized CuPtSe2 structure.

Cell: 2.902 2.902 9.026 Å, 90.00 90.00 101.04°
Fractional positions:
Cu  0.000  0.000  0.000
Pt  0.500  0.500  0.794
Se  0.000  0.000  0.588
Se  0.500  0.500  0.199

Space group: Cmm2 (35)
Crystal system: orthorhombic
Volume, Å³ per atom: 18.649
E_form (uncorrected), meV per atom: 142
N(E_F), states/eV/f.u.: 2.0

No. 4
VASP calculation (PBE) on a geometry-optimized LiSnP2O7 structure.

Cell: 5.034 6.556 11.128 Å, 76.06 78.64 76.55°
Fractional positions:
Li  0.212  0.364  0.074
Li  0.788  0.636  0.926
Sn  0.424  0.688  0.260
Sn  0.576  0.312  0.740
P  0.164  0.736  0.576
P  0.200  0.893  0.799
P  0.800  0.107  0.201
P  0.836  0.264  0.424
O  0.105  0.101  0.165
O  0.245  0.499  0.894
O  0.249  0.835  0.440
O  0.256  0.493  0.619
O  0.305  0.852  0.659
O  0.306  0.083  0.811
O  0.373  0.688  0.888
O  0.627  0.312  0.112
O  0.694  0.917  0.189
O  0.695  0.148  0.341
O  0.744  0.507  0.381
O  0.751  0.165  0.560
O  0.755  0.501  0.106
O  0.895  0.899  0.835

Energy relative to the lowest polymorph listed for this composition, eV/f.u.: 5.58
Space group: P-1 (2)
Crystal system: triclinic
Volume, Å³ per atom: 15.578
E_form (uncorrected), meV per atom: -1558

No. 5
VASP calculation (PBE) on a geometry-optimized K2InBr4 structure.

Cell: 7.011 7.011 8.934 Å, 115.36 115.36 38.36°
Fractional positions:
K  0.164  0.164  0.173
K  0.836  0.836  0.827
In  0.500  0.500  0.500
Br  0.152  0.152  0.548
Br  0.429  0.429  0.140
Br  0.571  0.571  0.860
Br  0.848  0.848  0.452

Energy relative to the lowest polymorph listed for this composition, eV/f.u.: 0.15
Space group: C2/m (12)
Crystal system: monoclinic
Volume, Å³ per atom: 34.697
E_form (uncorrected), meV per atom: -1248
N(E_F), states/eV/f.u.: 2.6

No. 6
VASP calculation (PBE) on a geometry-optimized NaPmGePb structure.

Cell: 5.312 5.312 5.312 Å, 60.00 60.00 60.00°
Fractional positions:
Na  0.000  0.000  0.000
Pm  0.500  0.500  0.500
Ge  0.250  0.250  0.250
Pb  0.750  0.750  0.750

Space group: F-43m (216)
Crystal system: cubic
Volume, Å³ per atom: 26.491
Formation energy, eV per atom: -0.237
N(E_F), states/eV/f.u.: 2.3

No. 7
VASP calculation (PBE) on a geometry-optimized Pm5YErSc2 structure.

Cell: 10.452 10.452 10.485 Å, 90.00 90.00 149.31°
Fractional positions:
Pm  0.012  0.988  0.500
Pm  0.276  0.724  0.801
Pm  0.301  0.699  0.197
Pm  0.382  0.618  0.507
Pm  0.482  0.518  0.227
Pm  0.518  0.482  0.727
Pm  0.618  0.382  0.007
Pm  0.699  0.301  0.697
Pm  0.724  0.276  0.301
Pm  0.988  0.012  0.000
Y  0.193  0.807  0.500
Y  0.807  0.193  0.000
Er  0.408  0.592  0.940
Er  0.592  0.408  0.440
Sc  0.112  0.888  0.789
Sc  0.113  0.887  0.229
Sc  0.887  0.113  0.729
Sc  0.888  0.112  0.289

Space group: Cmc2_1 (36)
Crystal system: orthorhombic
Volume, Å³ per atom: 32.481
Formation energy, eV per atom: 0.174
N(E_F), states/eV/f.u.: 15.2

No. 8
VASP calculation (PBE) on a geometry-optimized Sr4Li structure.

Cell: 6.404 6.404 6.404 Å, 90.00 90.00 90.00°
Fractional positions:
Sr  0.000  0.000  0.000
Sr  0.000  0.500  0.500
Sr  0.500  0.000  0.500
Sr  0.500  0.500  0.000
Li  0.500  0.500  0.500

Energy relative to the lowest polymorph listed for this composition, eV/f.u.: 0.65
Space group: Pm-3m (221)
Crystal system: cubic
Volume, Å³ per atom: 52.528
Formation energy, eV per atom: 0.141
N(E_F), states/eV/f.u.: 5.9

No. 9
VASP calculation (PBE) on a geometry-optimized Y3Pt structure.

Cell: 3.799 3.799 9.479 Å, 90.00 90.00 120.00°
Fractional positions:
Y  0.000  0.000  0.000
Y  0.333  0.667  0.308
Y  0.333  0.667  0.692
Pt  0.000  0.000  0.500

Space group: P-6m2 (187)
Crystal system: hexagonal
Volume, Å³ per atom: 29.612
Formation energy, eV per atom: -0.527
N(E_F), states/eV/f.u.: 3.6

No. 10
VASP calculation (PBE) on a geometry-optimized Tl12Sb5Au3 structure.

Cell: 15.277 15.277 15.277 Å, 109.47 109.47 109.47°
Fractional positions:
Tl  0.061  0.628  0.390
Tl  0.061  0.934  0.671
Tl  0.066  0.238  0.128
Tl  0.066  0.329  0.939
Tl  0.110  0.738  0.671
Tl  0.110  0.872  0.439
Tl  0.128  0.066  0.238
Tl  0.128  0.561  0.890
Tl  0.171  0.238  0.610
Tl  0.171  0.434  0.561
Tl  0.238  0.128  0.066
Tl  0.238  0.610  0.171
Tl  0.262  0.329  0.890
Tl  0.262  0.434  0.372
Tl  0.329  0.890  0.262
Tl  0.329  0.939  0.066
Tl  0.372  0.262  0.434
Tl  0.372  0.610  0.939
Tl  0.390  0.061  0.628
Tl  0.390  0.829  0.762
Tl  0.434  0.372  0.262
Tl  0.434  0.561  0.171
Tl  0.439  0.110  0.872
Tl  0.439  0.829  0.566
Tl  0.561  0.171  0.434
Tl  0.561  0.890  0.128
Tl  0.566  0.439  0.829
Tl  0.566  0.628  0.738
Tl  0.610  0.171  0.238
Tl  0.610  0.939  0.372
Tl  0.628  0.390  0.061
Tl  0.628  0.738  0.566
Tl  0.671  0.061  0.934
Tl  0.671  0.110  0.738
Tl  0.738  0.566  0.628
Tl  0.738  0.671  0.110
Tl  0.762  0.390  0.829
Tl  0.762  0.872  0.934
Tl  0.829  0.566  0.439
Tl  0.829  0.762  0.390
Tl  0.872  0.439  0.110
Tl  0.872  0.934  0.762
Tl  0.890  0.128  0.561
Tl  0.890  0.262  0.329
Tl  0.934  0.671  0.061
Tl  0.934  0.762  0.872
Tl  0.939  0.066  0.329
Tl  0.939  0.372  0.610
Sb  0.000  0.000  0.000
Sb  0.000  0.000  0.500
Sb  0.000  0.500  0.000
Sb  0.000  0.500  0.500
Sb  0.125  0.750  0.875
Sb  0.125  0.875  0.250
Sb  0.250  0.125  0.875
Sb  0.250  0.625  0.375
Sb  0.375  0.250  0.625
Sb  0.375  0.625  0.750
Sb  0.500  0.000  0.000
Sb  0.500  0.000  0.500
Sb  0.500  0.500  0.000
Sb  0.500  0.500  0.500
Sb  0.625  0.375  0.250
Sb  0.625  0.750  0.375
Sb  0.750  0.375  0.625
Sb  0.750  0.875  0.125
Sb  0.875  0.125  0.750
Sb  0.875  0.250  0.125
Au  0.125  0.250  0.375
Au  0.125  0.375  0.750
Au  0.250  0.375  0.125
Au  0.250  0.875  0.625
Au  0.375  0.125  0.250
Au  0.375  0.750  0.125
Au  0.625  0.250  0.875
Au  0.625  0.875  0.750
Au  0.750  0.125  0.375
Au  0.750  0.625  0.875
Au  0.875  0.625  0.250
Au  0.875  0.750  0.625

Space group: Ia-3d (230)
Crystal system: cubic
Volume, Å³ per atom: 34.309
E_form (uncorrected), meV per atom: 125
N(E_F), states/eV/f.u.: 11.4

No. 11
VASP calculation (PBE) on a geometry-optimized ScW2Cl structure.

Cell: 9.371 9.371 9.371 Å, 18.14 18.14 18.14°
Fractional positions:
Sc  0.000  0.000  0.000
W  0.245  0.245  0.245
W  0.755  0.755  0.755
Cl  0.500  0.500  0.500

Energy relative to the lowest polymorph listed for this composition, eV/f.u.: 2.76
Space group: R-3m (166)
Crystal system: trigonal
Volume, Å³ per atom: 17.416
E_form (uncorrected), meV per atom: 588
N(E_F), states/eV/f.u.: 2.4